Record 1
Compound: BeCd2AsSe
Source: Alexandria via LeMat-Bulk
Functional: GGA-PBE
Structure: optimized geometry

- Electronic total energy: -2.435 eV per atom
- Energy relative to the elements, uncorrected: 304 meV per atom
- Crystal system: tetragonal

Cell and atoms, written as extended XYZ:
```
5
Lattice="5.136 0.000 0.000 0.000 5.136 0.000 0.000 0.000 4.026" Properties=species:S:1:pos:R:3 pbc="T T T"
Be 0.000 0.000 0.000
Cd 0.000 2.568 0.000
Cd 2.568 0.000 0.000
As 0.000 0.000 2.013
Se 2.568 2.568 2.013
```

---

Record 2
Compound: SiPbI2O
Source: Alexandria via LeMat-Bulk
Functional: GGA-PBE
Structure: optimized geometry

- Polymorph energy (0 for the lowest one): 5.721 eV/f.u.
- Electronic total energy: -2.730 eV per atom
- Energy relative to the elements, uncorrected: 708 meV per atom
- Crystal system: tetragonal

Cell and atoms, written as extended XYZ:
```
5
Lattice="5.315 0.000 0.000 0.000 5.315 0.000 0.000 0.000 5.773" Properties=species:S:1:pos:R:3 pbc="T T T"
Si 0.000 0.000 0.000
Pb 0.000 0.000 2.887
I 0.000 2.658 0.000
I 2.658 0.000 0.000
O 2.658 2.658 2.887
```

---

Record 3
Compound: CrAs2Rh
Source: Alexandria via LeMat-Bulk
Functional: GGA-PBE
Structure: optimized geometry

- Electronic total energy: -6.781 eV per atom
- Calculated formation energy: -213 meV/atom
- Crystal system: tetragonal

Cell and atoms, written as extended XYZ:
```
4
Lattice="3.485 0.000 0.000 0.000 3.485 0.000 0.000 0.000 5.178" Properties=species:S:1:pos:R:3 pbc="T T T"
Cr 0.000 0.000 0.000
As 0.000 0.000 2.576
As 1.743 1.743 4.502
Rh 1.743 1.743 1.860
```

---

Record 4
Compound: Tm3SnHg2
Source: Alexandria via LeMat-Bulk
Functional: GGA-PBE
Structure: optimized geometry

- Electronic total energy: -3.517 eV per atom
- Calculated formation energy: -513 meV/atom
- Crystal system: trigonal

Cell and atoms, written as extended XYZ:
```
6
Lattice="5.213 0.000 0.000 -2.607 4.515 0.000 0.000 0.000 6.420" Properties=species:S:1:pos:R:3 pbc="T T T"
Tm 0.000 0.000 0.000
Tm 0.000 3.010 4.240
Tm 2.607 1.505 2.180
Sn 0.000 0.000 3.210
Hg 0.000 3.010 0.898
Hg 2.607 1.505 5.521
```